No. 1
VASP calculation (PBE) on crystalline La8IrRu3I4 at its relaxed geometry.

Calculated values
Symmetry: R-3m, No. 166
E_tot, eV per atom: -6.003

Cell: 8.4515 9.5790 8.4540 Å, 116.20 119.99 90.00°
Last column: nearest neighbours and their distance in Å.
Fractional positions:
La  0.2301  0.6844  0.9541  2 Ru 2.86, 1 Ir 2.90
La  0.2716  0.3146  0.5432  3 Ru 2.88
La  0.2760  0.3156  0.0459  2 Ru 2.86, 1 Ir 2.90
La  0.7699  0.3156  0.0459  2 Ru 2.86, 1 Ir 2.90
La  0.7240  0.6844  0.9541  2 Ru 2.86, 1 Ir 2.90
La  0.2301  0.6843  0.4602  2 Ru 2.86, 1 Ir 2.90
La  0.7284  0.6854  0.4568  3 Ru 2.88
La  0.7699  0.3157  0.5398  2 Ru 2.86, 1 Ir 2.90
I  0.0000  0.0000  0.5000  6 La 3.56-3.58
I  0.5000  0.0000  0.0000  6 La 3.55
I  0.5000  0.0000  0.5000  6 La 3.56-3.58
I  0.0000  0.0000  0.0000  6 La 3.56-3.58
Ru  0.5000  0.5000  0.5000  6 La 2.86-2.88
Ru  0.0000  0.5000  0.5000  6 La 2.86-2.88
Ru  0.5000  0.5000  0.0000  6 La 2.86-2.88
Ir  0.0000  0.5000  0.0000  6 La 2.90

=====

No. 2
VASP calculation (PBE) on crystalline La4IrRuI2 at its relaxed geometry.

Calculated values
Symmetry: P2/m, No. 10
E_tot, eV per atom: -6.064

Cell: 4.2375 7.3276 8.6048 Å, 106.56 90.00 90.00°
Last column: nearest neighbours and their distance in Å.
Fractional positions:
I  0.0000  0.5000  0.5000  6 La 3.55-3.56
I  0.5000  0.0000  0.5000  6 La 3.58-3.59
Ru  0.5000  0.5000  0.0000  6 La 2.85-2.87
La  0.5000  0.2322  0.1841  1 Ru 2.85, 2 Ir 2.89
La  0.5000  0.7678  0.8159  1 Ru 2.85, 2 Ir 2.89
La  0.0000  0.2756  0.8149  2 Ru 2.87, 1 Ir 2.91
La  0.0000  0.7244  0.1851  2 Ru 2.87, 1 Ir 2.91
Ir  0.0000  0.0000  0.0000  6 La 2.89-2.91

=====

Number 1: formation energy (no corrections) -0.8592 eV per atom. Number 2: formation energy (no corrections) -0.9452 eV per atom.